(1)
First-principles (GGA-PBE) data for a relaxed Sn2Ge2Cl crystal, as listed in Alexandria.

As for the total energy: -3.9278 eV/atom. The calculated density is 5.6 g cm⁻³. The calculation puts the energy relative to the elements, uncorrected at -0.55 eV/f.u.

The space group is I4/mmm (No. 139) and the conventional cell measures 5.081, 5.081 and 9.671 Å, with angles of 90.00, 90.00 and 90.00 degrees. Symmetry generates all atoms from Sn at (0.000, 0.500, 0.250), Ge at (0.000, 0.000, 0.126) and Cl at (0.000, 0.000, 0.500).


(2)
First-principles (GGA-PBE) data for a relaxed K2NbS4 crystal, as listed in Alexandria.

As for the total energy: -4.9728 eV/atom. The calculated density is 2.8 g cm⁻³. The calculation puts the energy relative to the elements, uncorrected at -6.04 eV/f.u.

The space group is C2/m (No. 12) and the conventional cell measures 12.704, 3.634 and 8.307 Å, with angles of 90.00, 113.49 and 90.00 degrees. Symmetry generates all atoms from K at (0.161, 0.000, 0.169), Nb at (0.000, 0.500, 0.500), S at (0.056, 0.500, 0.815) and S at (0.143, 0.000, 0.544).


(3)
First-principles (GGA-PBE) data for a relaxed LiGaGe2Se6 crystal, as listed in Alexandria.

As for the total energy: -4.0229 eV/atom. The calculated density is 4.2 g cm⁻³. The calculation puts the energy relative to the elements, uncorrected at -5.15 eV/f.u.

The space group is Cc (No. 9) and the conventional cell measures 7.277, 12.668 and 12.449 Å, with angles of 90.00, 104.18 and 90.00 degrees. Symmetry generates all atoms from Li at (0.000, 0.202, 0.000), Ga at (0.430, 0.370, 0.894), Ge at (0.059, 0.246, 0.677), Ge at (0.270, 0.496, 0.619), Se at (0.047, 0.083, 0.232), Se at (0.210, 0.167, 0.546), Se at (0.239, 0.209, 0.860), Se at (0.241, 0.320, 0.165), Se at (0.274, 0.467, 0.431) and Se at (0.474, 0.071, 0.145).


(4)
First-principles (GGA-PBE) data for a relaxed SrZn2As crystal, as listed in Alexandria.

The formation energy is -1.03 eV per formula unit. As for the total energy: -2.4772 eV/atom. The calculated density is 5.0 g cm⁻³.

The space group is R-3m (No. 166, hexagonal axes) and the conventional cell measures 4.3909, 4.3909 and 17.4080 Å, with angles of 90.00, 90.00 and 120.00 degrees. Symmetry generates all atoms from Sr at (0.0000, 0.0000, 0.0000), Zn at (0.0000, 0.0000, 0.2198) and As at (0.0000, 0.0000, 0.5000).


(5)
First-principles (GGA-PBE) data for a relaxed LaAl2Tl crystal, as listed in Alexandria.

The formation energy is -0.30 eV per formula unit. As for the total energy: -3.7686 eV/atom. The calculated density is 6.6 g cm⁻³.

The space group is Pmmm (No. 47) and the conventional cell measures 3.454, 4.081 and 7.074 Å, with angles of 90.00, 90.00 and 90.00 degrees. Symmetry generates all atoms from La at (0.000, 0.000, 0.000), Al at (0.500, 0.500, 0.295) and Tl at (0.000, 0.000, 0.500).


(6)
First-principles (GGA-PBE) data for a relaxed Sr2Bi2Au crystal, as listed in Alexandria.

The formation energy is -1.38 eV per formula unit. As for the total energy: -3.1564 eV/atom. The calculated density is 7.5 g cm⁻³.

The space group is P4/mbm (No. 127) and the conventional cell measures 9.557, 9.557 and 3.824 Å, with angles of 90.00, 90.00 and 90.00 degrees. Symmetry generates all atoms from Sr at (0.138, 0.362, 0.000), Bi at (0.167, 0.667, 0.500) and Au at (0.000, 0.000, 0.000).


(7)
First-principles (GGA-PBE) data for a relaxed Sm3YGe4 crystal, as listed in Alexandria.

The formation energy is -5.51 eV per formula unit. As for the total energy: -5.5757 eV/atom. The calculated density is 6.5 g cm⁻³.

The space group is Immm (No. 71) and the conventional cell measures 4.107, 6.418 and 16.067 Å, with angles of 90.00, 90.00 and 90.00 degrees. Symmetry generates all atoms from Sm at (0.000, 0.000, 0.000), Sm at (0.000, 0.500, 0.196), Y at (0.000, 0.000, 0.500) and Ge at (0.000, 0.307, 0.370).


(8)
First-principles (GGA-PBE) data for a relaxed Li2VI6 crystal, as listed in Alexandria.

As for the total energy: -3.1467 eV/atom. The calculated density is 3.7 g cm⁻³. The calculation puts the energy relative to the elements, uncorrected at -6.07 eV/f.u.

The space group is C2/c (No. 15) and the conventional cell measures 15.782, 14.721 and 6.713 Å, with angles of 90.00, 107.59 and 90.00 degrees. Symmetry generates all atoms from Li at (0.071, 0.082, 0.127), V at (0.000, 0.414, 0.250), I at (0.100, 0.439, 0.653), I at (0.109, 0.095, 0.558) and I at (0.113, 0.301, 0.175).


(9)
First-principles (GGA-PBE) data for a relaxed Cd3BAs2F6 crystal, as listed in Alexandria.

As for the total energy: -3.8911 eV/atom. The calculated density is 5.5 g cm⁻³. The calculation puts the energy relative to the elements, uncorrected at -16.74 eV/f.u.

The space group is C2/m (No. 12) and the conventional cell measures 13.863, 5.753 and 4.724 Å, with angles of 90.00, 103.09 and 90.00 degrees. Symmetry generates all atoms from Cd at (0.000, 0.000, 0.000), Cd at (0.250, 0.250, 0.500), B at (0.000, 0.500, 0.500), As at (0.204, 0.000, 0.968), F at (0.066, 0.500, 0.759) and F at (0.075, 0.262, 0.359).


(10)
First-principles (GGA-PBE) data for a relaxed BaGd2Ru crystal, as listed in Alexandria.

The formation energy is -0.44 eV per formula unit. As for the total energy: -9.9499 eV/atom. The calculated density is 7.3 g cm⁻³.

The space group is P4/mmm (No. 123) and the conventional cell measures 3.524, 3.524 and 10.178 Å, with angles of 90.00, 90.00 and 90.00 degrees. Symmetry generates all atoms from Ba at (0.000, 0.000, 0.000), Gd at (0.500, 0.500, 0.340) and Ru at (0.000, 0.000, 0.500).


Please write out number 2 again, unchanged.
First-principles (GGA-PBE) data for a relaxed K2NbS4 crystal, as listed in Alexandria.

As for the total energy: -4.9728 eV/atom. The calculated density is 2.8 g cm⁻³. The calculation puts the energy relative to the elements, uncorrected at -6.04 eV/f.u.

The space group is C2/m (No. 12) and the conventional cell measures 12.704, 3.634 and 8.307 Å, with angles of 90.00, 113.49 and 90.00 degrees. Symmetry generates all atoms from K at (0.161, 0.000, 0.169), Nb at (0.000, 0.500, 0.500), S at (0.056, 0.500, 0.815) and S at (0.143, 0.000, 0.544).